Record 1
{"formula": "MnAs3", "functional": "PBE-GGA", "state": "optimized geometry", "crystal_system": "tetragonal", "final_energy_ev_per_atom": -5.446, "formation_enthalpy_0k_ev_per_atom": 0.33, "de_polymorph_mev_per_atom": 331, "total_magnetization_mub_per_atom": 0.9436, "cell": [[4.5977, 0.0000, 0.0000], [0.0000, 4.5977, 0.0000], [0.0000, 0.0000, 3.3970]], "species": ["As", "As", "As", "Mn"], "frac_coords": [[0.0000, 0.0000, 0.0000], [0.5000, 0.0000, 0.5000], [0.5000, 0.5000, 0.0000], [0.0000, 0.5000, 0.5000]]}

Record 2
{"formula": "MnAs2", "functional": "PBE-GGA", "state": "optimized geometry", "crystal_system": "tetragonal", "final_energy_ev_per_atom": -6.196, "formation_enthalpy_0k_ev_per_atom": -0.04, "total_magnetization_mub_per_atom": 0.8188, "cell": [[0.9274, -1.1507, 4.7794], [-2.8874, 4.0198, -0.7283], [-2.4628, -3.8937, -1.9496]], "species": ["Mn", "Mn", "As", "As", "As", "As"], "frac_coords": [[0.7500, 0.7500, 0.0000], [0.2500, 0.2500, 0.0000], [0.1521, 0.3479, 0.5000], [0.8479, 0.6521, 0.5000], [0.6521, 0.1521, 0.8042], [0.3479, 0.8479, 0.1958]]}

Record 3
{"formula": "Mn2As3", "functional": "PBE-GGA", "state": "optimized geometry", "crystal_system": "trigonal", "final_energy_ev_per_atom": -6.475, "formation_enthalpy_0k_ev_per_atom": -0.02, "total_magnetization_mub_per_atom": 1.0470, "cell": [[-7.2895, 3.9884, 0.9741], [-7.1319, 2.0271, 3.8756], [-5.4632, 5.1077, 3.7494]], "species": ["Mn", "Mn", "As", "As", "As"], "frac_coords": [[0.3937, 0.3937, 0.3937], [0.6063, 0.6063, 0.6063], [0.0000, 0.0000, 0.0000], [0.7860, 0.7860, 0.7860], [0.2140, 0.2140, 0.2140]]}

Record 4
{"formula": "MnAs2", "functional": "PBE-GGA", "state": "optimized geometry", "crystal_system": "orthorhombic", "final_energy_ev_per_atom": -6.214, "formation_enthalpy_0k_ev_per_atom": -0.06, "total_magnetization_mub_per_atom": 0.7517, "cell": [[1.7137, -6.2006, 0.0000], [1.7137, 6.2006, 0.0000], [0.0000, 0.0000, 4.7547]], "species": ["Mn", "Mn", "As", "As", "As", "As"], "frac_coords": [[0.3051, 0.6949, 0.7500], [0.6949, 0.3051, 0.2500], [0.6596, 0.3404, 0.7500], [0.9544, 0.0456, 0.7500], [0.0456, 0.9544, 0.2500], [0.3404, 0.6596, 0.2500]]}

What did the fourth record say?
{"formula": "MnAs2", "functional": "PBE-GGA", "state": "optimized geometry", "crystal_system": "orthorhombic", "final_energy_ev_per_atom": -6.214, "formation_enthalpy_0k_ev_per_atom": -0.06, "total_magnetization_mub_per_atom": 0.7517, "cell": [[1.7137, -6.2006, 0.0000], [1.7137, 6.2006, 0.0000], [0.0000, 0.0000, 4.7547]], "species": ["Mn", "Mn", "As", "As", "As", "As"], "frac_coords": [[0.3051, 0.6949, 0.7500], [0.6949, 0.3051, 0.2500], [0.6596, 0.3404, 0.7500], [0.9544, 0.0456, 0.7500], [0.0456, 0.9544, 0.2500], [0.3404, 0.6596, 0.2500]]}